Entry 1:
Pt3PbBr | PBE | optimized geometry

a = 4.8640 Å, b = 4.8640 Å, c = 4.8640 Å
α = 90.00°, β = 90.00°, γ = 90.00°
Atoms (fractional coordinates):
1 Pt 0.0000 0.0000 0.5000
2 Pb 0.5000 0.5000 0.5000
3 Br 0.0000 0.0000 0.0000
4 Pt 0.0000 0.5000 0.0000
5 Pt 0.5000 0.0000 0.0000

- Space group: Pm-3m, No. 221
- E above lowest polymorph: 0 meV per atom
- Uncorrected energy: -0.2864 Ry per atom
- Formation energy from raw total energies: 18.53 kcal/mol of atoms
- Density of states at the Fermi level: 3.3 states/eV per cell


Entry 2:
Nd2H4Se | PBE | optimized geometry

a = 3.9331 Å, b = 3.9331 Å, c = 7.7342 Å
α = 75.27°, β = 75.27°, γ = 60.00°
Atoms (fractional coordinates):
1 Se 0.0000 0.0000 0.0000
2 H 0.8633 0.8633 0.4101
3 H 0.1367 0.1367 0.5899
4 Nd 0.7577 0.7577 0.7269
5 Nd 0.2423 0.2423 0.2731
6 H 0.4335 0.4335 0.6994
7 H 0.5665 0.5665 0.3006

- Space group: R-3m, No. 166
- Uncorrected energy: -0.3482 Ry per atom


Entry 3:
ErScOs | PBE | optimized geometry

a = 4.6198 Å, b = 4.6198 Å, c = 4.6198 Å
α = 60.00°, β = 60.00°, γ = 60.00°
Atoms (fractional coordinates):
1 Os 0.2500 0.2500 0.2500
2 Sc 0.0000 0.0000 0.0000
3 Er 0.5000 0.5000 0.5000

- Space group: F-43m, No. 216
- ΔH_f (0 K): -245 meV per atom
- E above lowest polymorph: 131 meV per atom
- Uncorrected energy: -0.5600 Ry per atom
- Density of states at the Fermi level: 0.8 states/eV per cell


Entry 4:
LiLaTbIr | PBE | optimized geometry

a = 5.0610 Å, b = 5.0610 Å, c = 5.0610 Å
α = 60.00°, β = 60.00°, γ = 60.00°
Atoms (fractional coordinates):
1 Tb 0.7500 0.7500 0.7500
2 Ir 0.5000 0.5000 0.5000
3 La 0.2500 0.2500 0.2500
4 Li 0.0000 0.0000 0.0000

- Space group: F-43m, No. 216
- ΔH_f (0 K): -446 meV per atom
- Uncorrected energy: -0.4064 Ry per atom
- Density of states at the Fermi level: 3.1 states/eV per cell


Entry 5:
Zn2FeBr | PBE | optimized geometry

a = 3.0947 Å, b = 3.0947 Å, c = 7.9525 Å
α = 90.00°, β = 90.00°, γ = 90.03°
Last column: magnetic moment on the atom in μB.
Atoms (fractional coordinates):
1 Fe 0.5000 0.5000 0.7739  2.90
2 Br 0.0000 0.0000 0.5809  0.18
3 Zn 0.5000 0.5000 0.1646  0.01
4 Zn 0.0000 0.0000 0.9806  -0.02

- Space group: P4mm, No. 99
- E above lowest polymorph: 124 meV per atom
- Uncorrected energy: -0.2145 Ry per atom
- Formation energy from raw total energies: 5.82 kcal/mol of atoms
- Density of states at the Fermi level: 1.4 states/eV per cell


Entry 6:
CePmZn2 | PBE | optimized geometry

a = 3.5526 Å, b = 3.5526 Å, c = 9.6232 Å
α = 79.36°, β = 79.36°, γ = 60.00°
Last column: magnetic moment on the atom in μB.
Atoms (fractional coordinates):
1 Ce 0.5000 0.5000 0.5000  0.75
2 Zn 0.7497 0.7497 0.7510  0.00
3 Pm 0.0000 0.0000 0.0000  0.02
4 Zn 0.2503 0.2503 0.2490  0.00

- Space group: R-3m, No. 166
- ΔH_f (0 K): -27 meV per atom
- E above lowest polymorph: 214 meV per atom
- Uncorrected energy: -0.2452 Ry per atom
- Density of states at the Fermi level: 6.6 states/eV per cell


The lowest uncorrected energy belongs to which entry? ErScOs